Entry 1:
# Co2MoBr PBE relaxed
data_Co2MoBr
_cell_length_a 4.422
_cell_length_b 2.887
_cell_length_c 4.970
_cell_angle_alpha 90.00
_cell_angle_beta 115.47
_cell_angle_gamma 90.00
_symmetry_space_group_name_H-M 'P 1 2/m 1'
_symmetry_Int_Tables_number 10
_symmetry_space_group_name_Hall '-P 2y'
loop_
_atom_site_label
_atom_site_type_symbol
_atom_site_fract_x
_atom_site_fract_y
_atom_site_fract_z
_atom_site_occupancy
Co1 Co 0.000 0.000 0.000 1
Co2 Co 0.500 0.500 0.000 1
Mo1 Mo 0.000 0.500 0.500 1
Br1 Br 0.500 0.000 0.500 1
# - VASP energy (Ha/atom) = -0.2129
# - E_form (uncorrected) (eV per atom) = 0.885


Entry 2:
# CoMoBr PBE relaxed
data_CoMoBr
_cell_length_a 5.932
_cell_length_b 5.932
_cell_length_c 5.932
_cell_angle_alpha 90.00
_cell_angle_beta 90.00
_cell_angle_gamma 90.00
_symmetry_space_group_name_H-M 'F -4 3 m'
_symmetry_Int_Tables_number 216
_symmetry_space_group_name_Hall 'F -4 2 3'
loop_
_atom_site_label
_atom_site_type_symbol
_atom_site_fract_x
_atom_site_fract_y
_atom_site_fract_z
_atom_site_occupancy
Co1 Co 0.000 0.000 0.000 1
Mo1 Mo 0.250 0.250 0.250 1
Br1 Br 0.000 0.000 0.500 1
# - VASP energy (Ha/atom) = -0.2058
# - E_form (uncorrected) (eV per atom) = 0.936


Entry 3:
# Co2MoBr PBE relaxed
data_Co2MoBr
_cell_length_a 2.928
_cell_length_b 4.360
_cell_length_c 8.882
_cell_angle_alpha 90.00
_cell_angle_beta 90.00
_cell_angle_gamma 90.00
_symmetry_space_group_name_H-M 'I m m 2'
_symmetry_Int_Tables_number 44
_symmetry_space_group_name_Hall 'I 2 -2'
loop_
_atom_site_label
_atom_site_type_symbol
_atom_site_fract_x
_atom_site_fract_y
_atom_site_fract_z
_atom_site_occupancy
Co1 Co 0.000 0.000 0.000 1
Co2 Co 0.000 0.500 0.274 1
Mo1 Mo 0.000 0.500 0.790 1
Br1 Br 0.000 0.000 0.536 1
# - VASP energy (Ha/atom) = -0.2149
# - E_form (uncorrected) (eV per atom) = 0.831


Entry 4:
# Co2MoBr PBE relaxed
data_Co2MoBr
_cell_length_a 6.097
_cell_length_b 6.097
_cell_length_c 6.097
_cell_angle_alpha 90.00
_cell_angle_beta 90.00
_cell_angle_gamma 90.00
_symmetry_space_group_name_H-M 'F m -3 m'
_symmetry_Int_Tables_number 225
_symmetry_space_group_name_Hall '-F 4 2 3'
loop_
_atom_site_label
_atom_site_type_symbol
_atom_site_fract_x
_atom_site_fract_y
_atom_site_fract_z
_atom_site_occupancy
Co1 Co 0.250 0.250 0.250 1
Mo1 Mo 0.000 0.000 0.000 1
Br1 Br 0.000 0.000 0.500 1
# - VASP energy (Ha/atom) = -0.2067
# - E_form (uncorrected) (eV per atom) = 1.053


Entry 5:
# Co2MoBr PBE relaxed
data_Co2MoBr
_cell_length_a 5.200
_cell_length_b 7.499
_cell_length_c 2.854
_cell_angle_alpha 90.00
_cell_angle_beta 90.00
_cell_angle_gamma 90.00
_symmetry_space_group_name_H-M 'C m m m'
_symmetry_Int_Tables_number 65
_symmetry_space_group_name_Hall '-C 2 2'
loop_
_atom_site_label
_atom_site_type_symbol
_atom_site_fract_x
_atom_site_fract_y
_atom_site_fract_z
_atom_site_occupancy
Co1 Co 0.250 0.250 0.000 1
Mo1 Mo 0.000 0.000 0.500 1
Br1 Br 0.000 0.500 0.500 1
# - VASP energy (Ha/atom) = -0.2136
# - E_form (uncorrected) (eV per atom) = 0.866


Entry 6:
# Co2MoBr PBE relaxed
data_Co2MoBr
_cell_length_a 3.173
_cell_length_b 3.173
_cell_length_c 5.951
_cell_angle_alpha 90.00
_cell_angle_beta 90.00
_cell_angle_gamma 90.00
_symmetry_space_group_name_H-M 'P 4/m m m'
_symmetry_Int_Tables_number 123
_symmetry_space_group_name_Hall '-P 4 2'
loop_
_atom_site_label
_atom_site_type_symbol
_atom_site_fract_x
_atom_site_fract_y
_atom_site_fract_z
_atom_site_occupancy
Co1 Co 0.000 0.000 0.202 1
Mo1 Mo 0.500 0.500 0.000 1
Br1 Br 0.500 0.500 0.500 1
# - VASP energy (Ha/atom) = -0.2253
# - E_form (uncorrected) (eV per atom) = 0.549


Entry 7:
# CoMo2Br PBE relaxed
data_CoMo2Br
_cell_length_a 9.200
_cell_length_b 2.908
_cell_length_c 4.699
_cell_angle_alpha 90.00
_cell_angle_beta 107.64
_cell_angle_gamma 90.00
_symmetry_space_group_name_H-M 'C 1 m 1'
_symmetry_Int_Tables_number 8
_symmetry_space_group_name_Hall 'C -2y'
loop_
_atom_site_label
_atom_site_type_symbol
_atom_site_fract_x
_atom_site_fract_y
_atom_site_fract_z
_atom_site_occupancy
Co1 Co 0.000 0.000 0.000 1
Mo1 Mo 0.270 0.000 0.883 1
Mo2 Mo 0.489 0.000 0.530 1
Br1 Br 0.235 0.500 0.330 1
# - VASP energy (Ha/atom) = -0.2544
# - E_form (uncorrected) (eV per atom) = 0.687


Entry 8:
# CoMoBr2 PBE relaxed
data_CoMoBr2
_cell_length_a 3.1864
_cell_length_b 3.1864
_cell_length_c 23.4999
_cell_angle_alpha 90.00
_cell_angle_beta 90.00
_cell_angle_gamma 120.00
_symmetry_space_group_name_H-M 'R -3 m'
_symmetry_Int_Tables_number 166
_symmetry_space_group_name_Hall '-R 3 2"'
loop_
_atom_site_label
_atom_site_type_symbol
_atom_site_fract_x
_atom_site_fract_y
_atom_site_fract_z
_atom_site_occupancy
Co1 Co 0.0000 0.0000 0.0000 1
Mo1 Mo 0.0000 0.0000 0.5000 1
Br1 Br 0.0000 0.0000 0.2522 1
# - VASP energy (Ha/atom) = -0.1698
# - E_form (uncorrected) (eV per atom) = 0.699


Entry 9:
# CoMo2Br PBE relaxed
data_CoMo2Br
_cell_length_a 3.045
_cell_length_b 4.388
_cell_length_c 9.221
_cell_angle_alpha 90.00
_cell_angle_beta 90.00
_cell_angle_gamma 90.00
_symmetry_space_group_name_H-M 'I m m m'
_symmetry_Int_Tables_number 71
_symmetry_space_group_name_Hall '-I 2 2'
loop_
_atom_site_label
_atom_site_type_symbol
_atom_site_fract_x
_atom_site_fract_y
_atom_site_fract_z
_atom_site_occupancy
Co1 Co 0.000 0.000 0.000 1
Mo1 Mo 0.000 0.500 0.239 1
Br1 Br 0.000 0.000 0.500 1
# - VASP energy (Ha/atom) = -0.2495
# - E_form (uncorrected) (eV per atom) = 0.821


Entry 10:
# CoMoBr2 PBE relaxed
data_CoMoBr2
_cell_length_a 3.763
_cell_length_b 3.763
_cell_length_c 11.813
_cell_angle_alpha 90.00
_cell_angle_beta 90.00
_cell_angle_gamma 90.00
_symmetry_space_group_name_H-M 'I -4 m 2'
_symmetry_Int_Tables_number 119
_symmetry_space_group_name_Hall 'I -4 -2'
loop_
_atom_site_label
_atom_site_type_symbol
_atom_site_fract_x
_atom_site_fract_y
_atom_site_fract_z
_atom_site_occupancy
Co1 Co 0.000 0.000 0.000 1
Mo1 Mo 0.000 0.500 0.750 1
Br1 Br 0.000 0.000 0.500 1
Br2 Br 0.000 0.500 0.250 1
# - VASP energy (Ha/atom) = -0.1588
# - E_form (uncorrected) (eV per atom) = 1.001


Entry 11:
# CoMo2Br PBE relaxed
data_CoMo2Br
_cell_length_a 3.060
_cell_length_b 4.432
_cell_length_c 4.582
_cell_angle_alpha 90.00
_cell_angle_beta 90.00
_cell_angle_gamma 90.00
_symmetry_space_group_name_H-M 'P m m m'
_symmetry_Int_Tables_number 47
_symmetry_space_group_name_Hall '-P 2 2'
loop_
_atom_site_label
_atom_site_type_symbol
_atom_site_fract_x
_atom_site_fract_y
_atom_site_fract_z
_atom_site_occupancy
Co1 Co 0.000 0.000 0.000 1
Mo1 Mo 0.000 0.500 0.500 1
Mo2 Mo 0.500 0.000 0.500 1
Br1 Br 0.500 0.500 0.000 1
# - VASP energy (Ha/atom) = -0.2477
# - E_form (uncorrected) (eV per atom) = 0.869


Entry 12:
# CoMoBr2 PBE relaxed
data_CoMoBr2
_cell_length_a 3.227
_cell_length_b 3.392
_cell_length_c 16.769
_cell_angle_alpha 90.00
_cell_angle_beta 90.00
_cell_angle_gamma 90.00
_symmetry_space_group_name_H-M 'I m m 2'
_symmetry_Int_Tables_number 44
_symmetry_space_group_name_Hall 'I 2 -2'
loop_
_atom_site_label
_atom_site_type_symbol
_atom_site_fract_x
_atom_site_fract_y
_atom_site_fract_z
_atom_site_occupancy
Co1 Co 0.000 0.000 0.000 1
Mo1 Mo 0.000 0.500 0.914 1
Br1 Br 0.000 0.000 0.585 1
Br2 Br 0.000 0.500 0.317 1
# - VASP energy (Ha/atom) = -0.1805
# - E_form (uncorrected) (eV per atom) = 0.408